No. 1
Computed, not measured: a geometry-optimized NaCaYPb structure at the PBE level of DFT.

DFT total energy	-3.592	eV per atom
energy of formation	-0.87	eV per formula unit
space group	No. 216
Fermi-level density of states	2.33	states/eV per cell
total magnetization	0.00	μB/f.u.

Lattice parameters (Å, degrees): 5.5027 5.5027 5.5027 60.00 60.00 60.00
Closest atoms and distances in Å follow each position.
Fractional coordinates of all 4 atoms:
Na: 0.0000 0.0000 0.0000  4 Ca 3.37, 4 Y 3.37
Ca: 0.7500 0.7500 0.7500  4 Pb 3.37, 4 Na 3.37
Y: 0.2500 0.2500 0.2500  4 Pb 3.37, 4 Na 3.37
Pb: 0.5000 0.5000 0.5000  4 Ca 3.37, 4 Y 3.37


No. 2
Computed, not measured: a geometry-optimized NaCaZnPb structure at the PBE level of DFT.

DFT total energy	-2.270	eV per atom
energy of formation	-0.78	eV per formula unit
space group	No. 216
Fermi-level density of states	3.26	states/eV per cell
total magnetization	0.00	μB/f.u.

Lattice parameters (Å, degrees): 5.3017 5.3017 5.3017 60.00 60.00 60.00
Closest atoms and distances in Å follow each position.
Fractional coordinates of all 4 atoms:
Na: 0.0000 0.0000 0.0000  4 Pb 3.25, 4 Zn 3.25
Ca: 0.5000 0.5000 0.5000  4 Zn 3.25, 4 Pb 3.25
Zn: 0.7500 0.7500 0.7500  4 Ca 3.25, 4 Na 3.25
Pb: 0.2500 0.2500 0.2500  4 Na 3.25, 4 Ca 3.25


No. 3
Computed, not measured: a geometry-optimized Na3CaPd structure at the PBE level of DFT.

DFT total energy	-2.105	eV per atom
energy of formation	0.63	eV per formula unit
space group	No. 221
energy above the lowest structure with this stoichiometry	0.00	kJ/mol of atoms
Fermi-level density of states	2.85	states/eV per cell
total magnetization	0.00	μB/f.u.

Lattice parameters (Å, degrees): 5.4842 5.4842 5.4842 90.00 90.00 90.00
Closest atoms and distances in Å follow each position.
Fractional coordinates of all 5 atoms:
Na: 0.0000 0.0000 0.5000  2 Pd 2.74
Na: 0.0000 0.5000 0.0000  2 Pd 2.74
Na: 0.5000 0.0000 0.0000  2 Pd 2.74
Ca: 0.5000 0.5000 0.5000  12 Na 3.88
Pd: 0.0000 0.0000 0.0000  6 Na 2.74